A plane-wave DFT calculation with GGA-PBE was carried out for a relaxed LiNiHRh2 crystal.

Its electronic total energy is -5.24 eV per atom. For the total magnetization, the calculation gives 0.00 μB per formula unit. For the energy above the most stable polymorph in this dataset, the calculation gives 0.000 eV/atom. The value obtained for the density of states at the Fermi level is 0.78 states/eV/atom.

Unit cell a=3.8703 b=3.8703 c=3.5254 alpha=90.00 beta=90.00 gamma=90.00
Last column: nearest neighbours and their distance in Å.
Fractional coordinates of all 5 atoms:
Rh1 0.0000 0.5000 0.0000  2 H 1.94
Ni1 0.5000 0.5000 0.5000  8 Rh 2.62, 4 Li 2.74
Rh2 0.5000 0.0000 0.0000  2 H 1.94
H1 0.0000 0.0000 0.0000  2 Li 1.76, 4 Rh 1.94
Li1 0.0000 0.0000 0.5000  2 H 1.76